1.
## LaAgHgPd (GGA-PBE)

Data for crystalline LaAgHgPd at its relaxed geometry.

- Energy relative to the elements: -0.427 eV/atom
- E: -59.9 eV per cell
- Density of states at the Fermi level: 0.67 states/eV per atom
- Density: 10.1 Mg/m³

abc: 7.1401 7.1401 7.1401
angles: 90.00 90.00 90.00
Space group F-43m (No. 216)
One atom of each set of equivalent atoms:
1 La 0.0000 0.0000 0.0000 [4 per cell]
2 Ag 0.2500 0.2500 0.7500 [4 per cell]
3 Hg 0.0000 0.0000 0.5000 [4 per cell]
4 Pd 0.2500 0.2500 0.2500 [4 per cell]

2.
## LaPmAgHg (GGA-PBE)

Data for crystalline LaPmAgHg at its relaxed geometry.

- Energy relative to the elements: -0.373 eV/atom
- E: -57.3 eV per cell
- Density of states at the Fermi level: 0.93 states/eV per atom
- Density: 8.8 Mg/m³

abc: 7.6454 7.6454 7.6454
angles: 90.00 90.00 90.00
Space group F-43m (No. 216)
One atom of each set of equivalent atoms:
1 La 0.0000 0.0000 0.0000 [4 per cell]
2 Pm 0.0000 0.0000 0.5000 [4 per cell]
3 Ag 0.2500 0.2500 0.7500 [4 per cell]
4 Hg 0.2500 0.2500 0.2500 [4 per cell]

3.
## LaPmAgHg (GGA-PBE)

Data for crystalline LaPmAgHg at its relaxed geometry.

- Energy relative to the elements: -0.374 eV/atom
- E: -14.3 eV per cell
- Density of states at the Fermi level: 1.01 states/eV per atom
- Density: 8.8 Mg/m³

abc: 3.8099 3.8099 7.6833
angles: 90.00 90.00 90.00
Space group P4mm (No. 99)
One atom of each set of equivalent atoms:
1 La 0.0000 0.0000 0.0000 [1 per cell]
2 Pm 0.0000 0.0000 0.4889 [1 per cell]
3 Ag 0.5000 0.5000 0.2609 [1 per cell]
4 Hg 0.5000 0.5000 0.7334 [1 per cell]

4.
## LaPr2AgHg4 (GGA-PBE)

Data for crystalline LaPr2AgHg4 at its relaxed geometry.

- Energy relative to the elements: -0.389 eV/atom
- E: -65.0 eV per cell
- Density of states at the Fermi level: 0.94 states/eV per atom
- Density: 10.1 Mg/m³

abc: 5.2311 5.2311 27.6937
angles: 90.00 90.00 120.00
Space group R-3m (No. 166, hexagonal axes)
One atom of each set of equivalent atoms:
1 La 0.0000 0.0000 0.0000 [3 per cell]
2 Pr 0.0000 0.0000 0.2395 [6 per cell]
3 Ag 0.0000 0.0000 0.5000 [3 per cell]
4 Hg 0.0000 0.0000 0.1258 [6 per cell]
5 Hg 0.0000 0.0000 0.3769 [6 per cell]

5.
## La2PrAg2Hg2 (GGA-PBE)

Data for crystalline La2PrAg2Hg2 at its relaxed geometry.

- Energy relative to the elements: -0.285 eV/atom
- E: -68.8 eV per cell
- Density of states at the Fermi level: 0.97 states/eV per atom
- Density: 8.8 Mg/m³

abc: 4.9685 4.9685 27.3182
angles: 90.00 90.00 120.00
Space group R-3m (No. 166, hexagonal axes)
One atom of each set of equivalent atoms:
1 La 0.0000 0.0000 0.1235 [6 per cell]
2 Pr 0.0000 0.0000 0.0000 [3 per cell]
3 Ag 0.0000 0.0000 0.3958 [6 per cell]
4 Hg 0.0000 0.0000 0.2638 [6 per cell]

6.
## LaPuAgHg (GGA-PBE)

Data for crystalline LaPuAgHg at its relaxed geometry.

- Energy relative to the elements: -0.157 eV/atom
- E: -92.2 eV per cell
- Density of states at the Fermi level: 3.30 states/eV per atom
- Density: 10.4 Mg/m³

abc: 7.6070 7.6070 7.6070
angles: 90.00 90.00 90.00
Space group F-43m (No. 216)
One atom of each set of equivalent atoms:
1 La 0.0000 0.0000 0.0000 [4 per cell]
2 Pu 0.0000 0.0000 0.5000 [4 per cell]
3 Ag 0.2500 0.2500 0.7500 [4 per cell]
4 Hg 0.2500 0.2500 0.2500 [4 per cell]

7.
## LaRe2AgHg (GGA-PBE)

Data for crystalline LaRe2AgHg at its relaxed geometry.

- Energy relative to the elements: 1.679 eV/atom
- E: -24.6 eV per cell
- Density of states at the Fermi level: 1.81 states/eV per atom
- Density: 10.8 Mg/m³

abc: 5.0170 5.0170 4.9991
angles: 90.00 90.00 90.00
Space group P4/mmm (No. 123)
One atom of each set of equivalent atoms:
1 La 0.0000 0.0000 0.0000 [1 per cell]
2 Re 0.0000 0.5000 0.5000 [2 per cell]
3 Ag 0.5000 0.5000 0.5000 [1 per cell]
4 Hg 0.5000 0.5000 0.0000 [1 per cell]

8.
## La5AgHg2Rh2 (GGA-PBE)

Data for crystalline La5AgHg2Rh2 at its relaxed geometry.

- Energy relative to the elements: -0.506 eV/atom
- E: -95.7 eV per cell
- Density of states at the Fermi level: 0.89 states/eV per atom
- Density: 8.3 Mg/m³

abc: 12.1345 12.1345 3.8522
angles: 90.00 90.00 90.00
Space group P4/mbm (No. 127)
One atom of each set of equivalent atoms:
1 La 0.0000 0.5000 0.0000 [2 per cell]
2 La 0.0812 0.2026 0.0000 [8 per cell]
3 Ag 0.0000 0.0000 0.5000 [2 per cell]
4 Hg 0.1751 0.6751 0.5000 [4 per cell]
5 Rh 0.1316 0.3684 0.5000 [4 per cell]

9.
## La2AgHgRh (GGA-PBE)

Data for crystalline La2AgHgRh at its relaxed geometry.

- Energy relative to the elements: -0.523 eV/atom
- E: -45.9 eV per cell
- Density of states at the Fermi level: 0.70 states/eV per atom
- Density: 8.7 Mg/m³

abc: 8.2725 4.1606 8.2894
angles: 90.00 112.54 90.00
Space group P2_1/m (No. 11)
One atom of each set of equivalent atoms:
1 La 0.0035 0.2500 0.2171 [2 per cell]
2 La 0.3543 0.7500 0.6298 [2 per cell]
3 Ag 0.3603 0.2500 0.9530 [2 per cell]
4 Hg 0.3106 0.7500 0.1942 [2 per cell]
5 Rh 0.1075 0.2500 0.6062 [2 per cell]

10.
## LaAgHgSb (GGA-PBE)

Data for crystalline LaAgHgSb at its relaxed geometry.

- E: -55.8 eV per cell
- Density of states at the Fermi level: 0.77 states/eV per atom
- Density: 9.0 Mg/m³

abc: 7.4821 7.4821 7.4821
angles: 90.00 90.00 90.00
Space group F-43m (No. 216)
One atom of each set of equivalent atoms:
1 La 0.0000 0.0000 0.0000 [4 per cell]
2 Ag 0.0000 0.0000 0.5000 [4 per cell]
3 Hg 0.2500 0.2500 0.7500 [4 per cell]
4 Sb 0.2500 0.2500 0.2500 [4 per cell]

11.
## LaSm2AgHg4 (GGA-PBE)

Data for crystalline LaSm2AgHg4 at its relaxed geometry.

- Energy relative to the elements: -0.386 eV/atom
- E: -64.5 eV per cell
- Density of states at the Fermi level: 0.91 states/eV per atom
- Density: 10.6 Mg/m³

abc: 5.1679 5.1679 27.5355
angles: 90.00 90.00 120.00
Space group R-3m (No. 166, hexagonal axes)
One atom of each set of equivalent atoms:
1 La 0.0000 0.0000 0.0000 [3 per cell]
2 Sm 0.0000 0.0000 0.2385 [6 per cell]
3 Ag 0.0000 0.0000 0.5000 [3 per cell]
4 Hg 0.0000 0.0000 0.1254 [6 per cell]
5 Hg 0.0000 0.0000 0.3809 [6 per cell]

12.
## LaTbAgHg (GGA-PBE)

Data for crystalline LaTbAgHg at its relaxed geometry.

- Energy relative to the elements: -0.377 eV/atom
- Polymorph energy (0 for the lowest one): 10 meV/atom
- E: -56.9 eV per cell
- Density of states at the Fermi level: 0.73 states/eV per atom
- Density: 9.3 Mg/m³

abc: 7.5729 7.5729 7.5729
angles: 90.00 90.00 90.00
Space group F-43m (No. 216)
One atom of each set of equivalent atoms:
1 La 0.0000 0.0000 0.0000 [4 per cell]
2 Tb 0.0000 0.0000 0.5000 [4 per cell]
3 Ag 0.2500 0.2500 0.2500 [4 per cell]
4 Hg 0.2500 0.2500 0.7500 [4 per cell]

13.
## LaTb2AgHg4 (GGA-PBE)

Data for crystalline LaTb2AgHg4 at its relaxed geometry.

- Energy relative to the elements: -0.382 eV/atom
- E: -63.9 eV per cell
- Density of states at the Fermi level: 0.88 states/eV per atom
- Density: 10.9 Mg/m³

abc: 5.1122 5.1122 27.4869
angles: 90.00 90.00 120.00
Space group R-3m (No. 166, hexagonal axes)
One atom of each set of equivalent atoms:
1 La 0.0000 0.0000 0.0000 [3 per cell]
2 Tb 0.0000 0.0000 0.2377 [6 per cell]
3 Ag 0.0000 0.0000 0.5000 [3 per cell]
4 Hg 0.0000 0.0000 0.1253 [6 per cell]
5 Hg 0.0000 0.0000 0.3835 [6 per cell]

14.
## LaTbAgHg (GGA-PBE)

Data for crystalline LaTbAgHg at its relaxed geometry.

- Energy relative to the elements: -0.387 eV/atom
- Polymorph energy (0 for the lowest one): 0 meV/atom
- E: -14.3 eV per cell
- Density of states at the Fermi level: 0.95 states/eV per atom
- Density: 9.3 Mg/m³

abc: 3.7492 3.7492 7.6801
angles: 90.00 90.00 90.00
Space group P4mm (No. 99)
One atom of each set of equivalent atoms:
1 La 0.0000 0.0000 0.0000 [1 per cell]
2 Tb 0.0000 0.0000 0.4888 [1 per cell]
3 Ag 0.5000 0.5000 0.2722 [1 per cell]
4 Hg 0.5000 0.5000 0.7255 [1 per cell]

15.
## LaTb2Ag2Hg2 (GGA-PBE)

Data for crystalline LaTb2Ag2Hg2 at its relaxed geometry.

- Energy relative to the elements: -0.266 eV/atom
- E: -67.1 eV per cell
- Density of states at the Fermi level: 0.94 states/eV per atom
- Density: 9.6 Mg/m³

abc: 4.9103 4.9103 26.6776
angles: 90.00 90.00 120.00
Space group R-3m (No. 166, hexagonal axes)
One atom of each set of equivalent atoms:
1 La 0.0000 0.0000 0.0000 [3 per cell]
2 Tb 0.0000 0.0000 0.1263 [6 per cell]
3 Ag 0.0000 0.0000 0.4077 [6 per cell]
4 Hg 0.0000 0.0000 0.2539 [6 per cell]

16.
## LaThAgHg (GGA-PBE)

Data for crystalline LaThAgHg at its relaxed geometry.

- Energy relative to the elements: -0.212 eV/atom
- E: -65.4 eV per cell
- Density of states at the Fermi level: 1.12 states/eV per atom
- Density: 10.1 Mg/m³

abc: 7.6475 7.6475 7.6475
angles: 90.00 90.00 90.00
Space group F-43m (No. 216)
One atom of each set of equivalent atoms:
1 La 0.0000 0.0000 0.0000 [4 per cell]
2 Th 0.0000 0.0000 0.5000 [4 per cell]
3 Ag 0.2500 0.2500 0.7500 [4 per cell]
4 Hg 0.2500 0.2500 0.2500 [4 per cell]

17.
## LaTlAgHg (GGA-PBE)

Data for crystalline LaTlAgHg at its relaxed geometry.

- Energy relative to the elements: -0.335 eV/atom
- E: -47.1 eV per cell
- Density of states at the Fermi level: 0.56 states/eV per atom
- Density: 10.5 Mg/m³

abc: 7.4378 7.4378 7.4378
angles: 90.00 90.00 90.00
Space group F-43m (No. 216)
One atom of each set of equivalent atoms:
1 La 0.0000 0.0000 0.0000 [4 per cell]
2 Tl 0.0000 0.0000 0.5000 [4 per cell]
3 Ag 0.2500 0.2500 0.2500 [4 per cell]
4 Hg 0.2500 0.2500 0.7500 [4 per cell]

18.
## La4TlAg2Hg (GGA-PBE)

Data for crystalline La4TlAg2Hg at its relaxed geometry.

- Energy relative to the elements: -0.359 eV/atom
- E: -92.8 eV per cell
- Density of states at the Fermi level: 1.10 states/eV per atom
- Density: 8.3 Mg/m³

abc: 5.5010 5.5010 26.9703
angles: 90.00 90.00 120.00
Space group R-3m (No. 166, hexagonal axes)
One atom of each set of equivalent atoms:
1 La 0.0000 0.0000 0.1228 [6 per cell]
2 La 0.0000 0.0000 0.3729 [6 per cell]
3 Tl 0.0000 0.0000 0.5000 [3 per cell]
4 Ag 0.0000 0.0000 0.2479 [6 per cell]
5 Hg 0.0000 0.0000 0.0000 [3 per cell]

19.
## La4Tl2AgHg (GGA-PBE)

Data for crystalline La4Tl2AgHg at its relaxed geometry.

- Energy relative to the elements: -0.403 eV/atom
- E: -92.5 eV per cell
- Density of states at the Fermi level: 1.02 states/eV per atom
- Density: 8.7 Mg/m³

abc: 5.5570 5.5570 27.2955
angles: 90.00 90.00 120.00
Space group R-3m (No. 166, hexagonal axes)
One atom of each set of equivalent atoms:
1 La 0.0000 0.0000 0.1233 [6 per cell]
2 La 0.0000 0.0000 0.3733 [6 per cell]
3 Tl 0.0000 0.0000 0.2491 [6 per cell]
4 Ag 0.0000 0.0000 0.0000 [3 per cell]
5 Hg 0.0000 0.0000 0.5000 [3 per cell]

20.
## La4TlAgHg2 (GGA-PBE)

Data for crystalline La4TlAgHg2 at its relaxed geometry.

- Energy relative to the elements: -0.418 eV/atom
- E: -86.6 eV per cell
- Density of states at the Fermi level: 1.14 states/eV per atom
- Density: 8.8 Mg/m³

abc: 5.5188 5.5188 27.1197
angles: 90.00 90.00 120.00
Space group R-3m (No. 166, hexagonal axes)
One atom of each set of equivalent atoms:
1 La 0.0000 0.0000 0.1211 [6 per cell]
2 La 0.0000 0.0000 0.3715 [6 per cell]
3 Tl 0.0000 0.0000 0.5000 [3 per cell]
4 Ag 0.0000 0.0000 0.0000 [3 per cell]
5 Hg 0.0000 0.0000 0.2475 [6 per cell]

21.
## LaTm2AgHg4 (GGA-PBE)

Data for crystalline LaTm2AgHg4 at its relaxed geometry.

- Energy relative to the elements: -0.365 eV/atom
- E: -62.5 eV per cell
- Density of states at the Fermi level: 0.84 states/eV per atom
- Density: 11.4 Mg/m³

abc: 5.0558 5.0558 27.4636
angles: 90.00 90.00 120.00
Space group R-3m (No. 166, hexagonal axes)
One atom of each set of equivalent atoms:
1 La 0.0000 0.0000 0.0000 [3 per cell]
2 Tm 0.0000 0.0000 0.2372 [6 per cell]
3 Ag 0.0000 0.0000 0.5000 [3 per cell]
4 Hg 0.0000 0.0000 0.1255 [6 per cell]
5 Hg 0.0000 0.0000 0.3857 [6 per cell]

22.
## La2Zn4AgHg3 (GGA-PBE)

Data for crystalline La2Zn4AgHg3 at its relaxed geometry.

- Energy relative to the elements: -0.284 eV/atom
- E: -21.5 eV per cell
- Density of states at the Fermi level: 0.71 states/eV per atom
- Density: 9.2 Mg/m³

abc: 4.5546 4.5546 10.8893
angles: 90.00 90.00 90.00
Space group P-4m2 (No. 115)
One atom of each set of equivalent atoms:
1 La 0.0000 0.5000 0.2464 [2 per cell]
2 Zn 0.0000 0.0000 0.0000 [1 per cell]
3 Zn 0.0000 0.5000 0.6302 [2 per cell]
4 Zn 0.5000 0.5000 0.0000 [1 per cell]
5 Ag 0.0000 0.0000 0.5000 [1 per cell]
6 Hg 0.0000 0.5000 0.8674 [2 per cell]
7 Hg 0.5000 0.5000 0.5000 [1 per cell]

23.
## LaZnAgHg (GGA-PBE)

Data for crystalline LaZnAgHg at its relaxed geometry.

- Energy relative to the elements: -0.303 eV/atom
- E: -42.3 eV per cell
- Density of states at the Fermi level: 0.76 states/eV per atom
- Density: 9.2 Mg/m³

abc: 7.1761 7.1761 7.1761
angles: 90.00 90.00 90.00
Space group F-43m (No. 216)
One atom of each set of equivalent atoms:
1 La 0.0000 0.0000 0.0000 [4 per cell]
2 Zn 0.2500 0.2500 0.2500 [4 per cell]
3 Ag 0.0000 0.0000 0.5000 [4 per cell]
4 Hg 0.2500 0.2500 0.7500 [4 per cell]

24.
## La2Zn3Ag4Hg (GGA-PBE)

Data for crystalline La2Zn3Ag4Hg at its relaxed geometry.

- Energy relative to the elements: -0.228 eV/atom
- E: -27.7 eV per cell
- Density of states at the Fermi level: 0.70 states/eV per atom
- Density: 8.3 Mg/m³

abc: 4.2991 4.2991 12.0320
angles: 90.00 90.00 90.00
Space group P-4m2 (No. 115)
One atom of each set of equivalent atoms:
1 La 0.0000 0.5000 0.2402 [2 per cell]
2 Zn 0.0000 0.5000 0.8679 [2 per cell]
3 Zn 0.5000 0.5000 0.5000 [1 per cell]
4 Ag 0.0000 0.0000 0.0000 [1 per cell]
5 Ag 0.0000 0.5000 0.6523 [2 per cell]
6 Ag 0.5000 0.5000 0.0000 [1 per cell]
7 Hg 0.0000 0.0000 0.5000 [1 per cell]

25.
## La2Zn4Ag3Hg (GGA-PBE)

Data for crystalline La2Zn4Ag3Hg at its relaxed geometry.

- Energy relative to the elements: -0.259 eV/atom
- E: -26.4 eV per cell
- Density of states at the Fermi level: 0.46 states/eV per atom
- Density: 8.1 Mg/m³

abc: 4.3147 4.3147 11.7376
angles: 90.00 90.00 90.00
Space group P-4m2 (No. 115)
One atom of each set of equivalent atoms:
1 La 0.0000 0.5000 0.2447 [2 per cell]
2 Zn 0.0000 0.0000 0.0000 [1 per cell]
3 Zn 0.0000 0.5000 0.6434 [2 per cell]
4 Zn 0.5000 0.5000 0.0000 [1 per cell]
5 Ag 0.0000 0.5000 0.8645 [2 per cell]
6 Ag 0.5000 0.5000 0.5000 [1 per cell]
7 Hg 0.0000 0.0000 0.5000 [1 per cell]